Material: KSi2S2
Method: DFT, PBE
State: optimized geometry

Structure (POSCAR):
```
KSi2S2
1.0
8.497 0.000 0.000
0.000 8.497 0.000
0.000 0.000 3.303
K Si S
2 4 4
Cartesian
0.000 0.000 0.000 K
4.248 4.248 0.000 K
0.809 3.439 0.000 Si
3.439 7.687 0.000 Si
5.058 0.809 0.000 Si
7.687 5.058 0.000 Si
1.177 5.425 1.651 S
3.071 1.177 1.651 S
5.425 7.320 1.651 S
7.320 3.071 1.651 S
```

Properties
- symmetry = P4/mbm
- total energy (eV per cell) = -39.96
- uncorrected formation energy (eV/atom) = 0.044